(1)
# TlP3, optimized geometry, DFT PBE
# total magnetization	0.00	μB per formula unit
# V	20.79	Å³/atom
# N(E_F)	2.99	states/eV/cell
# E_form	414.0	meV/atom
data_TlP3
_space_group_name_H-M_alt 'P 63/m m c'
_space_group_IT_number 194
_space_group_name_Hall '-P 6c 2c'
_cell_length_a 7.3343
_cell_length_b 7.3343
_cell_length_c 7.1411
_cell_angle_alpha 90.00
_cell_angle_beta 90.00
_cell_angle_gamma 120.00
loop_
_atom_site_label
_atom_site_type_symbol
_atom_site_fract_x
_atom_site_fract_y
_atom_site_fract_z
Tl1 Tl 0.0000 0.0000 0.0000
Tl2 Tl 0.3333 0.6667 0.2500
P1 P 0.0000 0.5000 0.0000
P2 P 0.2237 0.4473 0.7500

=====

(2)
# RbAlTc3, optimized geometry, DFT PBE
# total magnetization	5.14	μB per formula unit
# V	22.05	Å³/atom
# N(E_F)	6.64	states/eV/cell
# E_form	1766.3	meV/atom
data_RbAlTc3
_space_group_name_H-M_alt 'P m -3 m'
_space_group_IT_number 221
_space_group_name_Hall '-P 4 2 3'
_cell_length_a 4.7951
_cell_length_b 4.7951
_cell_length_c 4.7951
_cell_angle_alpha 90.00
_cell_angle_beta 90.00
_cell_angle_gamma 90.00
loop_
_atom_site_label
_atom_site_type_symbol
_atom_site_fract_x
_atom_site_fract_y
_atom_site_fract_z
Rb1 Rb 0.0000 0.0000 0.0000
Al1 Al 0.5000 0.5000 0.5000
Tc1 Tc 0.0000 0.5000 0.5000

=====

(3)
# CsHg6Pb, optimized geometry, DFT PBE
# total magnetization	0.00	μB per formula unit
# V	34.81	Å³/atom
# N(E_F)	2.14	states/eV/cell
# E_form	-121.9	meV/atom
data_CsHg6Pb
_space_group_name_H-M_alt 'P 4/m m m'
_space_group_IT_number 123
_space_group_name_Hall '-P 4 2'
_cell_length_a 5.3846
_cell_length_b 5.3846
_cell_length_c 9.6055
_cell_angle_alpha 90.00
_cell_angle_beta 90.00
_cell_angle_gamma 90.00
loop_
_atom_site_label
_atom_site_type_symbol
_atom_site_fract_x
_atom_site_fract_y
_atom_site_fract_z
Cs1 Cs 0.0000 0.0000 0.0000
Hg1 Hg 0.0000 0.5000 0.3242
Hg2 Hg 0.5000 0.5000 0.1654
Pb1 Pb 0.0000 0.0000 0.5000

=====

(4)
# Pm2TmCu2, optimized geometry, DFT PBE
# total magnetization	0.00	μB per formula unit
# V	25.85	Å³/atom
# N(E_F)	11.38	states/eV/cell
# E_form	-74.8	meV/atom
data_Pm2TmCu2
_space_group_name_H-M_alt 'P 1 21/m 1'
_space_group_IT_number 11
_space_group_name_Hall '-P 2yb'
_cell_length_a 5.5296
_cell_length_b 4.4214
_cell_length_c 10.6237
_cell_angle_alpha 90.00
_cell_angle_beta 95.66
_cell_angle_gamma 90.00
loop_
_atom_site_label
_atom_site_type_symbol
_atom_site_fract_x
_atom_site_fract_y
_atom_site_fract_z
Pm1 Pm 0.1045 0.2500 0.3776
Pm2 Pm 0.2524 0.2500 0.0471
Tm1 Tm 0.4016 0.2500 0.7097
Cu1 Cu 0.2377 0.7500 0.8530
Cu2 Cu 0.3861 0.7500 0.5266

=====

(5)
# Ce3ErCo8, optimized geometry, DFT PBE
# total magnetization	0.00	μB per formula unit
# V	14.70	Å³/atom
# N(E_F)	55.43	states/eV/cell
# E_form	-230.1	meV/atom
data_Ce3ErCo8
_space_group_name_H-M_alt 'R 3 m'
_space_group_IT_number 160
_space_group_name_Hall 'R 3 -2"'
_cell_length_a 4.9990
_cell_length_b 4.9990
_cell_length_c 24.4509
_cell_angle_alpha 90.00
_cell_angle_beta 90.00
_cell_angle_gamma 120.00
loop_
_atom_site_label
_atom_site_type_symbol
_atom_site_fract_x
_atom_site_fract_y
_atom_site_fract_z
Ce1 Ce 0.0000 0.0000 0.0000
Ce2 Ce 0.0000 0.0000 0.1242
Ce3 Ce 0.0000 0.0000 0.4950
Er1 Er 0.0000 0.0000 0.6213
Co1 Co 0.0000 0.0000 0.3091
Co2 Co 0.0000 0.0000 0.8099
Co3 Co 0.0011 0.5005 0.5604
Co4 Co 0.1674 0.3348 0.3925

=====

(6)
# ScReHg2, optimized geometry, DFT PBE
# total magnetization	0.00	μB per formula unit
# V	21.11	Å³/atom
# N(E_F)	6.52	states/eV/cell
# E_form	592.1	meV/atom
data_ScReHg2
_space_group_name_H-M_alt 'I -4 2 d'
_space_group_IT_number 122
_space_group_name_Hall 'I -4 2bw'
_cell_length_a 4.0690
_cell_length_b 4.0690
_cell_length_c 20.4043
_cell_angle_alpha 90.00
_cell_angle_beta 90.00
_cell_angle_gamma 90.00
loop_
_atom_site_label
_atom_site_type_symbol
_atom_site_fract_x
_atom_site_fract_y
_atom_site_fract_z
Sc1 Sc 0.0000 0.0000 0.0000
Re1 Re 0.0000 0.0000 0.5000
Hg1 Hg 0.2355 0.2500 0.6250